#a
8
Lattice="-1.882 1.882 8.149 1.882 -1.882 8.149 1.882 1.882 -8.149" Properties=species:S:1:pos:R:3 comment="RbLiC2, optimized geometry, DFT PBE" crystal_system=tetragonal pbc="T T T"
Rb 1.882 0.941 2.037
Rb 0.000 0.941 6.112
Li 1.882 -0.941 6.112
Li 0.000 2.823 2.037
C 0.000 0.000 0.000
C 0.941 0.941 -4.074
C 0.941 -0.941 4.074
C 0.000 1.882 0.000

#b
4
Lattice="0.000 3.238 3.238 3.238 0.000 3.238 3.238 3.238 0.000" Properties=species:S:1:pos:R:3 comment="RbLiC2, optimized geometry, DFT PBE" crystal_system=cubic pbc="T T T"
Rb 0.000 0.000 0.000
Li 3.238 3.238 3.238
C 1.619 1.619 1.619
C 4.857 4.857 4.857

Short version: #b is the least stable of them.

#a
5
Lattice="4.435 0.000 0.000 0.000 4.435 0.000 0.000 0.000 4.435" Properties=species:S:1:pos:R:3 comment="RbLi3C, optimized geometry, DFT PBE" crystal_system=cubic pbc="T T T"
Rb 0.000 0.000 0.000
Li 0.000 2.217 2.217
Li 2.217 0.000 2.217
Li 2.217 2.217 0.000
C 2.217 2.217 2.217

#b
5
Lattice="4.869 0.000 0.000 0.000 4.869 0.000 0.000 0.000 4.869" Properties=species:S:1:pos:R:3 comment="RbLi3C, optimized geometry, DFT PBE" crystal_system=cubic pbc="T T T"
Rb 0.000 0.000 0.000
Li 0.000 0.000 2.435
Li 0.000 2.435 0.000
Li 2.435 0.000 0.000
C 2.435 2.435 2.435

Short version: #b is the least stable of them.

#a
5
Lattice="4.029 0.000 0.000 0.000 4.029 0.000 0.000 0.000 4.029" Properties=species:S:1:pos:R:3 comment="LiReC3, optimized geometry, DFT PBE" crystal_system=cubic pbc="T T T"
Li 0.000 0.000 0.000
Re 2.014 2.014 2.014
C 0.000 2.014 2.014
C 2.014 0.000 2.014
C 2.014 2.014 0.000

#b
5
Lattice="3.522 0.000 0.000 0.000 3.522 0.000 0.000 0.000 3.522" Properties=species:S:1:pos:R:3 comment="LiReC3, optimized geometry, DFT PBE" crystal_system=cubic pbc="T T T"
Li 0.000 0.000 0.000
Re 1.761 1.761 1.761
C 0.000 0.000 1.761
C 0.000 1.761 0.000
C 1.761 0.000 0.000

Short version: #b is the least stable of them.